Mg2V4O9 after structural relaxation. Source: Alexandria, functional PBE+U.

Cell and atoms, written as CIF:
```
data_Mg2V4O9
_cell_length_a 5.1422
_cell_length_b 5.1422
_cell_length_c 14.0453
_cell_angle_alpha 89.19
_cell_angle_beta 89.19
_cell_angle_gamma 58.75
_symmetry_space_group_name_H-M 'P 1'
_symmetry_Int_Tables_number 1
loop_
_symmetry_equiv_pos_as_xyz
'x,y,z'
loop_
_atom_site_label
_atom_site_fract_x
_atom_site_fract_y
_atom_site_fract_z
O1 0.9975 0.6908 0.7512
O2 0.3615 0.0058 0.4205
O3 0.0058 0.3615 0.9205
O4 0.9622 0.3900 0.5790
O5 0.6100 0.0378 0.9210
V1 0.6710 0.6634 0.1891
V2 0.6592 0.6647 0.4829
V3 0.3366 0.3290 0.3109
O6 0.6385 0.9942 0.5795
V4 0.3408 0.3353 0.5171
O7 0.6323 0.3457 0.4218
O8 0.0025 0.3092 0.2488
Mg1 0.9959 0.0045 0.6506
V5 0.6634 0.6710 0.6891
O9 0.3900 0.9622 0.0790
O10 0.3092 0.0025 0.7488
V6 0.3290 0.3366 0.8109
O11 0.0378 0.6100 0.4210
O12 0.3677 0.6543 0.5782
O13 0.6908 0.9975 0.2512
O14 0.3457 0.6323 0.9218
Mg2 0.9955 0.0041 0.8494
V7 0.6647 0.6592 0.9829
Mg3 0.0045 0.9959 0.1506
O15 0.3132 0.6868 0.2500
O16 0.6543 0.3677 0.0782
V8 0.3353 0.3408 0.0171
O17 0.6868 0.3132 0.7500
O18 0.9942 0.6385 0.0795
Mg4 0.0041 0.9955 0.3494
```

Computed properties:
Electronic total energy = -7.3724 eV per atom
Volume = 10.6 Å³/atom
Symmetry = C2/c, No. 15
Total magnetization = 12.000 Bohr magnetons per cell